Record 1
Material: SrHf2Sc
Method: DFT, PBE-GGA
State: relaxed

Values from the calculation:
**Symmetry**: F-43m
**Total DFT energy (no corrections)**: -25.53 eV/cell
**Calculated volume**: 25.962 Å³ per atom
**Calculated density**: 7.83 g/cm3

Unit cell a=5.2760 b=5.2760 c=5.2760 alpha=60.00 beta=60.00 gamma=60.00
Last column: nearest neighbours and their distance in Å.
Atoms (fractional coordinates):
Hf 0.0000 0.0000 0.0000  4 Hf 3.23, 4 Sr 3.23
Hf 0.7500 0.7500 0.7500  4 Sc 3.23, 4 Hf 3.23
Sc 0.5000 0.5000 0.5000  4 Hf 3.23, 4 Sr 3.23
Sr 0.2500 0.2500 0.2500  4 Sc 3.23, 4 Hf 3.23

=====

Record 2
Material: SmZnCuSe3
Method: DFT, PBE-GGA
State: relaxed

Values from the calculation:
**Symmetry**: Cmcm
**Total DFT energy (no corrections)**: -50.27 eV/cell
**Calculated volume**: 22.217 Å³ per atom
**Calculated density**: 6.43 g/cm3

Unit cell a=6.6654 b=6.6654 c=10.8359 alpha=90.00 beta=90.00 gamma=146.37
Last column: nearest neighbours and their distance in Å.
Atoms (fractional coordinates):
Sm 0.0000 0.0000 0.0000  6 Se 2.91-3.02
Sm 0.0000 0.0000 0.5000  6 Se 2.91-3.02
Se 0.1052 0.8948 0.7500  2 Cu 2.51
Se 0.3463 0.6537 0.9136  1 Cu 2.46
Se 0.6537 0.3463 0.0864  1 Cu 2.46
Se 0.3463 0.6537 0.5864  1 Cu 2.46
Se 0.8948 0.1052 0.2500  2 Cu 2.51
Se 0.6537 0.3463 0.4136  1 Cu 2.46
Cu 0.5202 0.4798 0.2500  4 Se 2.46-2.51
Cu 0.4798 0.5202 0.7500  4 Se 2.46-2.51
Zn 0.2242 0.7758 0.2500  6 Se 2.77-2.91
Zn 0.7758 0.2242 0.7500  6 Se 2.77-2.91

=====

Record 3
Material: Nb2CoSn
Method: DFT, PBE-GGA
State: relaxed

Values from the calculation:
**Symmetry**: F-43m
**Total DFT energy (no corrections)**: -30.58 eV/cell
**Calculated volume**: 16.993 Å³ per atom
**Calculated density**: 8.88 g/cm3

Unit cell a=4.5808 b=4.5808 c=4.5808 alpha=60.00 beta=60.00 gamma=60.00
Last column: nearest neighbours and their distance in Å.
Atoms (fractional coordinates):
Sn 0.5000 0.5000 0.5000  4 Co 2.81, 4 Nb 2.81
Co 0.2500 0.2500 0.2500  4 Sn 2.81, 4 Nb 2.81
Nb 0.7500 0.7500 0.7500  4 Nb 2.81, 4 Sn 2.81
Nb 0.0000 0.0000 0.0000  4 Nb 2.81, 4 Co 2.81